Record 1
K3AcCe2S6, relaxed, DFT PBE; final energy = -5.489 eV per atom; crystal system = monoclinic
1.0
3.7194 -6.4434 0.0000
3.7194 6.4434 0.0000
-2.4819 0.0000 7.3786
K Ac Ce S
3 1 2 6
Cartesian
0.0000 0.0000 0.0000 K
3.7194 2.1468 0.0000 K
3.7194 -2.1468 0.0000 K
2.4785 0.0000 3.6893 Ac
2.4785 4.2951 3.6893 Ce
2.4785 -4.2951 3.6893 Ce
1.1976 2.2187 2.1534 S
-0.0831 0.0000 5.2311 S
1.1976 -2.2187 2.1534 S
3.7593 2.2187 5.2252 S
5.0401 0.0000 2.1475 S
3.7593 -2.2187 5.2252 S


Record 2
K3Ac3HgO8, relaxed, DFT PBE; final energy = -5.704 eV per atom; crystal system = monoclinic
1.0
6.5393 -3.7767 0.0000
6.5393 3.7767 0.0000
-4.3669 0.0000 6.3234
K Ac Hg O
3 3 1 8
Cartesian
0.0000 0.0000 0.0000 K
3.2697 1.8884 0.0000 K
3.2697 -1.8884 0.0000 K
1.0862 1.8884 3.1617 Ac
1.0862 -1.8884 3.1617 Ac
4.3559 0.0000 3.1617 Ac
-2.1834 0.0000 3.1617 Hg
-0.1403 0.0000 4.3622 O
3.3348 2.0066 4.3627 O
5.3769 2.0066 1.9607 O
2.1761 0.0000 1.9498 O
6.5356 0.0000 4.3736 O
3.3348 -2.0066 4.3627 O
5.3769 -2.0066 1.9607 O
8.8520 0.0000 1.9612 O


Record 3
PrDyBi2, relaxed, DFT PBE; crystal system = hexagonal; relative energy among the computed polymorphs = 0.051 eV per atom
1.0
4.5450 0.0000 0.0000
-2.2725 3.9361 0.0000
0.0000 0.0000 15.0383
Pr Dy Bi
2 2 4
Cartesian
0.0000 2.6240 3.7596 Pr
2.2725 1.3120 11.2787 Pr
0.0000 0.0000 0.0000 Dy
0.0000 0.0000 7.5191 Dy
0.0000 2.6240 9.2882 Bi
0.0000 2.6240 13.2692 Bi
2.2725 1.3120 1.7691 Bi
2.2725 1.3120 5.7501 Bi


Record 4
ScSnTe2I, relaxed, DFT PBE; crystal system = tetragonal; relative energy among the computed polymorphs = 0.584 eV per atom
1.0
5.7339 0.0000 0.0000
0.0000 5.7339 0.0000
0.0000 0.0000 5.7473
Sc Sn Te I
1 1 2 1
Cartesian
0.0000 0.0000 0.0000 Sc
2.8669 2.8669 2.8736 Sn
0.0000 2.8669 2.8736 Te
2.8669 0.0000 2.8736 Te
2.8669 2.8669 0.0000 I


Record 5
K6Na12Cd, relaxed, DFT PBE; final energy = -1.197 eV per atom; crystal system = trigonal
1.0
7.1862 4.1490 4.9327
-7.1862 4.1490 4.9327
0.0000 -8.2979 4.9327
K Na Cd
6 12 1
Cartesian
-3.9321 0.8141 6.5814 K
-2.6710 -2.9982 8.2166 K
1.2610 -3.8123 6.5814 K
-1.2610 3.8123 8.2166 K
2.6711 2.9982 6.5814 K
3.9321 -0.8141 8.2166 K
-6.8014 -1.9833 8.3234 Na
-1.6831 -6.8818 6.4746 Na
-1.4896 -1.4623 4.7293 Na
-5.1183 4.8985 6.4746 Na
-0.5216 2.0212 4.7293 Na
2.0112 -0.5589 4.7293 Na
-2.0112 0.5589 10.0687 Na
0.5216 -2.0212 10.0687 Na
5.1183 -4.8985 8.3234 Na
1.4896 1.4623 10.0687 Na
1.6831 6.8818 8.3234 Na
6.8014 1.9833 6.4746 Na
0.0000 0.0000 7.3990 Cd


Record 6
BaY3, relaxed, DFT PBE; crystal system = cubic; relative energy among the computed polymorphs = 0.135 eV per atom
1.0
0.0000 4.1982 4.1982
4.1982 0.0000 4.1982
4.1982 4.1982 0.0000
Ba Y
1 3
Cartesian
0.0000 0.0000 0.0000 Ba
2.0991 2.0991 2.0991 Y
4.1982 4.1982 4.1982 Y
6.2973 6.2973 6.2973 Y


Record 7
CsBe, relaxed, DFT PBE; crystal system = cubic; relative energy among the computed polymorphs = 0.705 eV per atom
1.0
0.0000 3.7532 3.7532
3.7532 0.0000 3.7532
3.7532 3.7532 0.0000
Cs Be
1 1
Cartesian
0.0000 0.0000 0.0000 Cs
3.7532 3.7532 3.7532 Be


Record 8
RbPa4Re3N12, relaxed, DFT PBE; final energy = -9.350 eV per atom; crystal system = cubic
1.0
-4.1372 4.1372 4.1372
4.1372 -4.1372 4.1372
4.1372 4.1372 -4.1372
Rb Pa Re N
1 4 3 12
Cartesian
0.0000 0.0000 0.0000 Rb
2.0686 2.0686 -2.0686 Pa
2.0686 -2.0686 2.0686 Pa
-2.0686 2.0686 2.0686 Pa
2.0686 2.0686 2.0686 Pa
4.1372 0.0000 0.0000 Re
0.0000 4.1372 0.0000 Re
0.0000 0.0000 4.1372 Re
2.7219 0.0000 1.3575 N
5.5524 0.0000 1.3575 N
4.1372 2.7797 -1.4153 N
1.3575 2.7219 0.0000 N
2.7797 -1.4153 4.1372 N
0.0000 1.3575 2.7219 N
4.1372 2.7797 1.4153 N
1.3575 5.5524 0.0000 N
2.7797 1.4153 4.1372 N
0.0000 1.3575 5.5524 N
-1.4153 4.1372 2.7797 N
1.4153 4.1372 2.7797 N


Record 9
SiTc2HgAs, relaxed, DFT PBE; final energy = -5.253 eV per atom; crystal system = tetragonal
1.0
4.5841 0.0000 0.0000
0.0000 4.5841 0.0000
0.0000 0.0000 4.6726
Si Tc Hg As
1 2 1 1
Cartesian
0.0000 0.0000 0.0000 Si
0.0000 2.2921 0.0000 Tc
2.2921 0.0000 0.0000 Tc
2.2921 2.2921 2.3363 Hg
0.0000 0.0000 2.3363 As


Record 10
Li4SmAs2, relaxed, DFT PBE; final energy = -3.920 eV per atom; crystal system = tetragonal
1.0
7.7301 0.0000 0.0000
0.0000 7.7301 0.0000
0.0000 0.0000 4.1695
Li Sm As
8 2 4
Cartesian
0.7460 2.5900 0.0000 Li
1.2750 4.6110 2.0848 Li
2.5900 0.7460 0.0000 Li
3.1190 6.4550 2.0848 Li
4.6110 1.2750 2.0848 Li
5.1401 6.9841 0.0000 Li
6.4550 3.1190 2.0848 Li
6.9841 5.1401 0.0000 Li
0.0000 0.0000 2.0848 Sm
3.8650 3.8650 0.0000 Sm
1.6380 6.0921 0.0000 As
2.2271 2.2271 2.0848 As
5.5030 5.5030 2.0848 As
6.0921 1.6380 0.0000 As


Record 11
Rb2HoBi2O6, relaxed, DFT PBE; final energy = -5.744 eV per atom; crystal system = monoclinic
1.0
3.0687 -5.2760 0.0000
3.0687 5.2760 0.0000
-2.0678 0.0000 6.7256
Rb Ho Bi O
2 1 2 6
Cartesian
3.0687 3.4938 0.0000 Rb
3.0687 -3.4938 0.0000 Rb
-1.0339 0.0000 3.3628 Ho
2.0348 1.7434 3.3628 Bi
2.0348 -1.7434 3.3628 Bi
-0.0514 1.7601 4.5168 O
0.9112 0.0000 2.1873 O
-0.0514 -1.7601 4.5168 O
4.1210 1.7601 2.2088 O
3.1584 0.0000 4.5383 O
4.1210 -1.7601 2.2088 O


Record 12
V4Tc2Mo, relaxed, DFT PBE; crystal system = tetragonal; relative energy among the computed polymorphs = 0.993 eV per atom
1.0
-2.2349 2.2349 6.1637
2.2349 -2.2349 6.1637
2.2349 2.2349 -6.1637
V Tc Mo
4 2 1
Cartesian
2.2349 0.0000 0.0000 V
0.0000 0.0000 2.4487 V
0.0000 2.2349 0.0000 V
0.0000 0.0000 9.8787 V
0.0000 0.0000 4.6618 Tc
0.0000 0.0000 7.6655 Tc
0.0000 0.0000 0.0000 Mo


Number 1: spin magnetization 2.01 μB per formula unit. Number 2: spin magnetization 2.13 μB per formula unit. Number 3: spin magnetization 0.00 μB per formula unit. Number 4: spin magnetization 0.69 μB per formula unit. Number 5: spin magnetization 0.00 μB per formula unit. Number 6: spin magnetization 0.00 μB per formula unit. Number 7: spin magnetization 0.00 μB per formula unit. Number 8: spin magnetization 1.37 μB per formula unit. Number 9: spin magnetization 2.89 μB per formula unit. Number 10: spin magnetization 0.22 μB per formula unit. Number 11: spin magnetization 0.00 μB per formula unit. Number 12: spin magnetization 2.53 μB per formula unit.